No. 1
This record from Alexandria via LeMat-Bulk describes RhAu2Se after structural relaxation. The functional is PBE.

Calculated values
Formation energy without anion corrections = 0.286 eV per atom
Space-group type = I-42d, No. 122
DFT total energy = -4.061 eV per atom

Lattice parameters (Å, degrees): 5.924 5.924 5.924 101.52 101.52 126.91
Fractional coordinates of all 8 atoms:
Rh  0.000  0.000  0.000
Rh  0.750  0.250  0.500
Au  0.133  0.625  0.008
Au  0.375  0.383  0.508
Au  0.617  0.125  0.992
Au  0.875  0.867  0.492
Se  0.250  0.750  0.500
Se  0.500  0.500  0.000

No. 2
This record from Alexandria via LeMat-Bulk describes RhAuSe2 after structural relaxation. The functional is PBE.

Calculated values
Formation energy without anion corrections = -0.177 eV per atom
Space-group type = C2/m, No. 12
DFT total energy = -4.577 eV per atom

Lattice parameters (Å, degrees): 6.428 6.428 7.792 101.04 101.04 32.26
Fractional coordinates of all 8 atoms:
Rh  0.220  0.220  0.131
Rh  0.780  0.780  0.869
Au  0.338  0.338  0.468
Au  0.662  0.662  0.532
Se  0.134  0.134  0.816
Se  0.404  0.404  0.791
Se  0.596  0.596  0.209
Se  0.866  0.866  0.184